# PuMgMnIn | Alexandria via LeMat-Bulk | PBE | optimized geometry
data_PuMgMnIn
_chemical_formula_sum 'Pu4 Mg4 Mn4 In4'
_space_group_name_H-M_alt 'F -4 3 m'
_space_group_IT_number 216
_space_group_name_Hall 'F -4 2 3'
_cell_length_a 6.9520
_cell_length_b 6.9520
_cell_length_c 6.9520
_cell_angle_alpha 90.00
_cell_angle_beta 90.00
_cell_angle_gamma 90.00
loop_
_atom_site_label
_atom_site_fract_x
_atom_site_fract_y
_atom_site_fract_z
Pu1 0.0000 0.0000 0.0000
Mg1 0.2500 0.2500 0.2500
Mn1 0.2500 0.2500 0.7500
In1 0.0000 0.0000 0.5000
# Calculated total energy: -109.7 eV for the cell shown
# Formation energy from the elements: 10 kJ/mol of atoms